Entry 1:
{
  "formula": "Nd3RhAuCl",
  "functional": "GGA-PBE",
  "state": "relaxed",
  "lattice": [[8.237, 0.000, 0.000], [0.000, 4.258, 0.000], [-1.863, 0.000, 9.310]],
  "species": ["Nd", "Nd", "Nd", "Nd", "Nd", "Nd", "Rh", "Rh", "Au", "Au", "Cl", "Cl"],
  "fractional_positions": [[0.068, 0.250, 0.341], [0.207, 0.250, 0.967], [0.386, 0.750, 0.614], [0.614, 0.250, 0.386], [0.793, 0.750, 0.033], [0.932, 0.750, 0.659], [0.163, 0.250, 0.644], [0.837, 0.750, 0.356], [0.294, 0.750, 0.252], [0.706, 0.250, 0.748], [0.409, 0.750, 0.906], [0.591, 0.250, 0.094]],
  "dft_energy_ev_per_atom": -5.322,
  "raw_formation_energy_ev_per_atom": -0.8585,
  "magmom_total_mub_per_cell": 0.0
}

Entry 2:
{
  "formula": "ErSc5Ga4",
  "functional": "GGA-PBE",
  "state": "relaxed",
  "lattice": [[3.319, 0.000, 0.000], [0.000, 3.319, 0.000], [0.000, 0.000, 18.759]],
  "species": ["Er", "Sc", "Sc", "Sc", "Sc", "Sc", "Ga", "Ga", "Ga", "Ga"],
  "fractional_positions": [[0.000, 0.000, 0.000], [0.500, 0.500, 0.132], [0.500, 0.500, 0.316], [0.500, 0.500, 0.500], [0.500, 0.500, 0.684], [0.500, 0.500, 0.868], [0.000, 0.000, 0.222], [0.000, 0.000, 0.408], [0.000, 0.000, 0.592], [0.000, 0.000, 0.778]],
  "delta_e_f_mev_per_atom": -472,
  "dft_energy_ev_per_atom": -5.305,
  "magmom_total_mub_per_cell": 0.0
}

Entry 3:
{
  "formula": "MgZr4Sc3",
  "functional": "GGA-PBE",
  "state": "relaxed",
  "lattice": [[3.138, 0.000, 0.000], [-1.489, 5.975, 0.000], [-0.119, -2.593, 10.090]],
  "species": ["Mg", "Zr", "Zr", "Zr", "Zr", "Sc", "Sc", "Sc"],
  "fractional_positions": [[0.000, 0.000, 0.000], [0.138, 0.261, 0.485], [0.308, 0.623, 0.749], [0.692, 0.377, 0.251], [0.862, 0.739, 0.515], [0.401, 0.852, 0.262], [0.500, 0.500, 0.000], [0.599, 0.148, 0.738]],
  "delta_e_f_mev_per_atom": 34,
  "dft_energy_ev_per_atom": -6.814,
  "magmom_total_mub_per_cell": 0.0
}

Entry 4:
{
  "formula": "Tb12Ga2Hg5",
  "functional": "GGA-PBE",
  "state": "relaxed",
  "lattice": [[7.925, -3.867, 0.000], [7.925, 3.867, 0.000], [-0.141, 0.000, 9.096]],
  "species": ["Tb", "Tb", "Tb", "Tb", "Tb", "Tb", "Tb", "Tb", "Tb", "Tb", "Tb", "Tb", "Ga", "Ga", "Hg", "Hg", "Hg", "Hg", "Hg"],
  "fractional_positions": [[0.024, 0.024, 0.295], [0.096, 0.620, 0.439], [0.106, 0.550, 0.869], [0.380, 0.904, 0.561], [0.450, 0.894, 0.131], [0.460, 0.460, 0.169], [0.540, 0.540, 0.831], [0.550, 0.106, 0.869], [0.620, 0.096, 0.439], [0.894, 0.450, 0.131], [0.904, 0.380, 0.561], [0.976, 0.976, 0.705], [0.177, 0.823, 0.000], [0.823, 0.177, 0.000], [0.158, 0.158, 0.864], [0.232, 0.232, 0.339], [0.500, 0.500, 0.500], [0.768, 0.768, 0.661], [0.842, 0.842, 0.136]],
  "delta_e_f_mev_per_atom": -198,
  "dft_energy_ev_per_atom": -3.521,
  "magmom_total_mub_per_cell": 0.0
}

Entry 5:
{
  "formula": "KCrFe2Ir",
  "functional": "GGA-PBE",
  "state": "relaxed",
  "lattice": [[4.209, 0.000, 0.000], [0.000, 4.209, 0.000], [0.000, 0.000, 4.676]],
  "species": ["K", "Cr", "Fe", "Fe", "Ir"],
  "fractional_positions": [[0.000, 0.000, 0.000], [0.000, 0.000, 0.500], [0.000, 0.500, 0.500], [0.500, 0.000, 0.500], [0.500, 0.500, 0.000]],
  "delta_e_f_mev_per_atom": 2042,
  "dft_energy_ev_per_atom": -5.259,
  "magmom_total_mub_per_cell": 0.0
}